# Li2Ca3 PBE optimized geometry
data_Li2Ca3
_cell_length_a 7.4100
_cell_length_b 7.4100
_cell_length_c 22.0836
_cell_angle_alpha 90.00
_cell_angle_beta 90.00
_cell_angle_gamma 120.00
_symmetry_space_group_name_H-M 'R -3 c'
_symmetry_Int_Tables_number 167
_symmetry_space_group_name_Hall '-R 3 2"c'
loop_
_atom_site_label
_atom_site_type_symbol
_atom_site_fract_x
_atom_site_fract_y
_atom_site_fract_z
Li1 Li 0.0000 0.0000 0.1918
Ca1 Ca 0.0000 0.4408 0.2500
# Calculated volume in Å³/atom: 35.00
# Density of states at the Fermi level in states/eV/cell: 29.2

# LiCa2 PBE optimized geometry
data_LiCa2
_cell_length_a 5.9934
_cell_length_b 5.9934
_cell_length_c 3.5411
_cell_angle_alpha 90.00
_cell_angle_beta 90.00
_cell_angle_gamma 120.00
_symmetry_space_group_name_H-M 'P 6/m m m'
_symmetry_Int_Tables_number 191
_symmetry_space_group_name_Hall '-P 6 2'
loop_
_atom_site_label
_atom_site_type_symbol
_atom_site_fract_x
_atom_site_fract_y
_atom_site_fract_z
Li1 Li 0.0000 0.0000 0.0000
Ca1 Ca 0.3333 0.6667 0.5000
# Calculated volume in Å³/atom: 36.72
# Density of states at the Fermi level in states/eV/cell: 3.4

# LiCa2 PBE optimized geometry
data_LiCa2
_cell_length_a 8.050
_cell_length_b 8.050
_cell_length_c 6.524
_cell_angle_alpha 90.00
_cell_angle_beta 90.00
_cell_angle_gamma 90.00
_symmetry_space_group_name_H-M 'I 4/m c m'
_symmetry_Int_Tables_number 140
_symmetry_space_group_name_Hall '-I 4 2c'
loop_
_atom_site_label
_atom_site_type_symbol
_atom_site_fract_x
_atom_site_fract_y
_atom_site_fract_z
Li1 Li 0.000 0.000 0.250
Ca1 Ca 0.163 0.337 0.000
# Calculated volume in Å³/atom: 35.23
# Density of states at the Fermi level in states/eV/cell: 11.6

# Li4Ca5 PBE optimized geometry
data_Li4Ca5
_cell_length_a 12.107
_cell_length_b 5.622
_cell_length_c 10.356
_cell_angle_alpha 90.00
_cell_angle_beta 123.51
_cell_angle_gamma 90.00
_symmetry_space_group_name_H-M 'C 1 2/m 1'
_symmetry_Int_Tables_number 12
_symmetry_space_group_name_Hall '-C 2y'
loop_
_atom_site_label
_atom_site_type_symbol
_atom_site_fract_x
_atom_site_fract_y
_atom_site_fract_z
Li1 Li 0.025 0.000 0.225
Li2 Li 0.133 0.000 0.647
Ca1 Ca 0.000 0.500 0.000
Ca2 Ca 0.125 0.500 0.438
Ca3 Ca 0.244 0.500 0.870
# Calculated volume in Å³/atom: 32.65
# Density of states at the Fermi level in states/eV/cell: 16.1

# Li6Ca7 PBE optimized geometry
data_Li6Ca7
_cell_length_a 7.1755
_cell_length_b 7.1755
_cell_length_c 33.5260
_cell_angle_alpha 90.00
_cell_angle_beta 90.00
_cell_angle_gamma 120.00
_symmetry_space_group_name_H-M 'R -3 m'
_symmetry_Int_Tables_number 166
_symmetry_space_group_name_Hall '-R 3 2"'
loop_
_atom_site_label
_atom_site_type_symbol
_atom_site_fract_x
_atom_site_fract_y
_atom_site_fract_z
Li1 Li 0.0000 0.0000 0.0456
Li2 Li 0.0000 0.0000 0.1448
Li3 Li 0.0000 0.0000 0.3337
Ca1 Ca 0.0000 0.0000 0.5000
Ca2 Ca 0.0031 0.5015 0.9210
# Calculated volume in Å³/atom: 38.33
# Density of states at the Fermi level in states/eV/cell: 35.1

# Li3Ca PBE optimized geometry
data_Li3Ca
_cell_length_a 3.5676
_cell_length_b 3.5676
_cell_length_c 10.0194
_cell_angle_alpha 90.00
_cell_angle_beta 90.00
_cell_angle_gamma 120.00
_symmetry_space_group_name_H-M 'P -6 m 2'
_symmetry_Int_Tables_number 187
_symmetry_space_group_name_Hall 'P -6 2'
loop_
_atom_site_label
_atom_site_type_symbol
_atom_site_fract_x
_atom_site_fract_y
_atom_site_fract_z
Li1 Li 0.0000 0.0000 0.0000
Li2 Li 0.6667 0.3333 0.2222
Ca1 Ca 0.0000 0.0000 0.5000
# Calculated volume in Å³/atom: 27.61
# Density of states at the Fermi level in states/eV/cell: 1.8

Summary of energy in eV/atom
-1.8389 -1.7647 -1.9615 -1.9313 -1.6969 -1.8303
(order as listed above)
Summary of calculated formation energy in kJ/mol of formula units
62 60 3 27 331 41
(order as listed above)
Summary of density in Mg/m³
1.27 1.31 1.37 1.29 1.07 0.92
(order as listed above)